FeCoCBr: relaxed, PBE-GGA.

a b c (Å): 3.1778 3.1778 6.0119
angles (deg): 90.00 90.00 120.00
With the nearest neighbours (Å) after each atom.
Space group P3m1 (No. 156)
Inequivalent atoms, fractional coordinates:
Fe 0.0000 0.0000 0.0000 [1 per cell]  3 C 2.07
Co 0.6667 0.3333 0.2751 [1 per cell]  3 C 1.96
C 0.3333 0.6667 0.1611 [1 per cell]  3 Co 1.96, 3 Fe 2.07
Br 0.6667 0.3333 0.6745 [1 per cell]  1 Co 2.40, 3 Fe 2.68

**Raw formation energy**: 0.290 eV/atom



LiDyLuCd: relaxed, PBE-GGA.

a b c (Å): 7.3678 7.3678 7.3678
angles (deg): 90.00 90.00 90.00
With the nearest neighbours (Å) after each atom.
Space group F-43m (No. 216)
Inequivalent atoms, fractional coordinates:
Li 0.0000 0.0000 0.0000 [4 per cell]  4 Lu 3.19, 4 Dy 3.19
Dy 0.2500 0.2500 0.2500 [4 per cell]  4 Li 3.19, 4 Cd 3.19
Lu 0.2500 0.2500 0.7500 [4 per cell]  4 Cd 3.19, 4 Li 3.19
Cd 0.0000 0.0000 0.5000 [4 per cell]  4 Dy 3.19, 4 Lu 3.19

**Calculated formation energy**: -0.1089 eV/atom



Be2PSe: relaxed, PBE-GGA.

a b c (Å): 5.8868 3.3870 5.7801
angles (deg): 90.00 110.31 90.00
With the nearest neighbours (Å) after each atom.
Space group C2/m (No. 12)
Inequivalent atoms, fractional coordinates:
Be 0.2429 0.0000 0.2234 [4 per cell]  3 P 2.30-2.31, 3 Se 2.46-2.49
P 0.0000 0.5000 0.0000 [2 per cell]  6 Be 2.30-2.31
Se 0.0000 0.0000 0.5000 [2 per cell]  6 Be 2.46-2.49

**Raw formation energy**: -0.012 eV/atom



Dy3RhPb2: relaxed, PBE-GGA.

a b c (Å): 14.1630 6.2182 7.5158
angles (deg): 90.00 105.54 90.00
With the nearest neighbours (Å) after each atom.
Space group C2/c (No. 15)
Inequivalent atoms, fractional coordinates:
Dy 0.0000 0.1895 0.2500 [4 per cell]  1 Rh 2.87, 4 Pb 3.13-3.19
Dy 0.1566 0.4100 0.6229 [8 per cell]  1 Rh 2.67
Rh 0.0000 0.3493 0.7500 [4 per cell]  3 Dy 2.67-2.87
Pb 0.1552 0.1015 0.0196 [8 per cell]  1 Rh 2.99, 6 Dy 3.13-3.35, 1 Pb 3.34

**Calculated formation energy**: -0.4971 eV/atom



Pr4SnAu: relaxed, PBE-GGA.

a b c (Å): 5.6984 21.4784 6.5636
angles (deg): 90.00 90.00 90.00
With the nearest neighbours (Å) after each atom.
Space group Cmc2_1 (No. 36)
Inequivalent atoms, fractional coordinates:
Pr 0.0000 0.0571 0.0000 [4 per cell]  1 Au 2.95
Pr 0.0000 0.2074 0.2450 [4 per cell]  1 Au 3.20, 4 Pr 3.20-3.38, 3 Sn 3.45-3.48
Pr 0.0000 0.2079 0.7569 [4 per cell]  4 Pr 3.20-3.38, 1 Au 3.21, 3 Sn 3.44-3.48
Pr 0.0000 0.3873 0.0012 [4 per cell]  2 Au 2.93
Sn 0.0000 0.3475 0.5006 [4 per cell]  10 Pr 3.39-3.51
Au 0.0000 0.0804 0.5007 [4 per cell]  5 Pr 2.93-3.21

**Calculated formation energy**: -0.4139 eV/atom



Mg3Zn3IrPd2: relaxed, PBE-GGA.

a b c (Å): 7.5200 7.5200 2.9402
angles (deg): 90.00 90.00 120.00
With the nearest neighbours (Å) after each atom.
Space group P-62m (No. 189)
Inequivalent atoms, fractional coordinates:
Mg 0.0000 0.7077 0.0000 [3 per cell]  2 Ir 2.64, 2 Pd 2.67, 6 Zn 2.92-2.95, 2 Mg 2.94
Zn 0.0000 0.3669 0.5000 [3 per cell]  1 Ir 2.76, 4 Pd 2.81, 6 Mg 2.92-2.95, 2 Zn 2.94
Ir 0.0000 0.0000 0.5000 [1 per cell]  6 Mg 2.64, 3 Zn 2.76, 2 Ir 2.94
Pd 0.3333 0.6667 0.0000 [2 per cell]  3 Mg 2.67, 6 Zn 2.81, 2 Pd 2.94

**Calculated formation energy**: -0.3776 eV/atom



Mn3FeRu: relaxed, PBE-GGA.

a b c (Å): 4.0812 4.0812 4.0812
angles (deg): 90.00 90.00 90.00
With the nearest neighbours (Å) after each atom.
Space group Pm-3m (No. 221)
Inequivalent atoms, fractional coordinates:
Mn 0.0000 0.0000 0.5000 [3 per cell]  2 Fe 2.04
Fe 0.0000 0.0000 0.0000 [1 per cell]  6 Mn 2.04
Ru 0.5000 0.5000 0.5000 [1 per cell]  12 Mn 2.89

**Calculated formation energy**: 1.3250 eV/atom



ZrInI6: relaxed, PBE-GGA.

a b c (Å): 7.4787 13.8802 7.4670
angles (deg): 90.00 109.47 90.00
With the nearest neighbours (Å) after each atom.
Space group C2/m (No. 12)
Inequivalent atoms, fractional coordinates:
Zr 0.0000 0.0000 0.0000 [2 per cell]  6 I 2.86-2.89
In 0.0000 0.5000 0.5000 [2 per cell]  6 I 3.05-3.25
I 0.2334 0.0000 0.7654 [4 per cell]  1 Zr 2.86
I 0.2379 0.1470 0.2377 [8 per cell]  1 Zr 2.89, 1 In 3.05

**Raw formation energy**: -0.695 eV/atom



KErGa2I6: relaxed, PBE-GGA.

a b c (Å): 8.2537 8.2537 22.4186
angles (deg): 90.00 90.00 120.00
With the nearest neighbours (Å) after each atom.
Space group R3 (No. 146, hexagonal axes)
Inequivalent atoms, fractional coordinates:
K 0.0000 0.0000 0.0000 [3 per cell]  6 I 3.51-3.63
Er 0.0000 0.0000 0.4905 [3 per cell]  6 I 3.01-3.05
Ga 0.0000 0.0000 0.3053 [3 per cell]  6 I 3.28-3.40
Ga 0.0000 0.0000 0.8130 [3 per cell]  6 I 3.26-3.35
I 0.0130 0.3133 0.5628 [9 per cell]  1 Er 3.01, 1 Ga 3.35
I 0.0266 0.7253 0.4055 [9 per cell]  1 Er 3.05, 2 Ga 3.26-3.28

**Raw formation energy**: -0.979 eV/atom



KNbHg2P: relaxed, PBE-GGA.

a b c (Å): 5.4293 5.4293 5.3703
angles (deg): 90.00 90.00 90.00
With the nearest neighbours (Å) after each atom.
Space group P4/mmm (No. 123)
Inequivalent atoms, fractional coordinates:
K 0.0000 0.0000 0.0000 [1 per cell]  2 P 2.69, 4 Hg 2.71
Nb 0.5000 0.5000 0.5000 [1 per cell]  8 Hg 3.82, 4 P 3.84
Hg 0.0000 0.5000 0.0000 [2 per cell]  2 K 2.71
P 0.0000 0.0000 0.5000 [1 per cell]  2 K 2.69

**Calculated formation energy**: 1.7445 eV/atom



Tb2P4Ir3Ru: relaxed, PBE-GGA.

a b c (Å): 4.1603 4.1603 9.4154
angles (deg): 90.00 90.00 90.00
With the nearest neighbours (Å) after each atom.
Space group P-4m2 (No. 115)
Inequivalent atoms, fractional coordinates:
Tb 0.0000 0.5000 0.2391 [2 per cell]  8 P 3.07-3.18, 7 Ir 3.16-3.34, 2 Ru 3.22
P 0.0000 0.0000 0.0000 [1 per cell]  4 Ir 2.35
P 0.0000 0.5000 0.6337 [2 per cell]  3 Ir 2.36-2.43, 2 Ru 2.43
P 0.5000 0.5000 0.0000 [1 per cell]  4 Ir 2.35
Ir 0.0000 0.5000 0.8847 [2 per cell]  5 P 2.35-2.36
Ir 0.5000 0.5000 0.5000 [1 per cell]  4 P 2.43
Ru 0.0000 0.0000 0.5000 [1 per cell]  4 P 2.43

**Calculated formation energy**: -1.0186 eV/atom



RbBePbO4: relaxed, PBE-GGA.

a b c (Å): 5.4761 5.6934 7.4248
angles (deg): 90.00 109.29 90.00
With the nearest neighbours (Å) after each atom.
Space group P2_1/m (No. 11)
Inequivalent atoms, fractional coordinates:
Rb 0.1981 0.2500 0.4327 [2 per cell]  6 O 2.77-3.08
Be 0.2772 0.7500 0.1620 [2 per cell]  4 O 1.61-1.66
Pb 0.3053 0.2500 0.9704 [2 per cell]  6 O 2.17-2.28
O 0.0489 0.7500 0.9589 [2 per cell]  1 Be 1.61
O 0.0677 0.7500 0.2731 [2 per cell]  1 Be 1.62
O 0.4812 0.5266 0.1849 [4 per cell]  1 Be 1.66

**Raw formation energy**: -1.314 eV/atom



RbBH: relaxed, PBE-GGA.

a b c (Å): 5.4664 5.9267 5.9794
angles (deg): 93.74 115.05 115.07
With the nearest neighbours (Å) after each atom.
Space group P-1 (No. 2)
Inequivalent atoms, fractional coordinates:
Rb 0.0026 0.2367 0.2663 [2 per cell]  4 H 2.94-3.26, 2 B 3.28-3.29
B 0.4470 0.8940 0.3903 [2 per cell]  1 H 1.20
H 0.4162 0.7359 0.2288 [2 per cell]  1 B 1.20

**Uncorrected energy**: -3.5628 eV per atom



Ba2InAg6: relaxed, PBE-GGA.

a b c (Å): 6.5204 6.5204 6.3084
angles (deg): 90.00 90.00 120.00
With the nearest neighbours (Å) after each atom.
Space group P-3m1 (No. 164)
Inequivalent atoms, fractional coordinates:
Ba 0.3333 0.6667 0.1537 [2 per cell]  12 Ag 3.47-3.63
In 0.0000 0.0000 0.0000 [1 per cell]  6 Ag 2.96
Ag 0.1813 0.3626 0.6608 [6 per cell]  4 Ag 2.88-2.97, 1 In 2.96

**Calculated formation energy**: -0.1921 eV/atom



Sr4Ca2N: relaxed, PBE-GGA.

a b c (Å): 5.2681 5.2681 21.0316
angles (deg): 90.00 90.00 90.00
With the nearest neighbours (Å) after each atom.
Space group I4/mmm (No. 139)
Inequivalent atoms, fractional coordinates:
Sr 0.0000 0.0000 0.1220 [4 per cell]  1 N 2.56
Sr 0.0000 0.5000 0.0000 [4 per cell]  2 N 2.63
Ca 0.0000 0.0000 0.3094 [4 per cell]  5 Sr 3.94-4.00
N 0.0000 0.0000 0.0000 [2 per cell]  6 Sr 2.56-2.63

**Raw formation energy**: -0.107 eV/atom



Na2YSiAu: relaxed, PBE-GGA.

a b c (Å): 5.2838 5.2838 5.4958
angles (deg): 90.00 90.00 90.00
With the nearest neighbours (Å) after each atom.
Space group P4/mmm (No. 123)
Inequivalent atoms, fractional coordinates:
Na 0.0000 0.5000 0.0000 [2 per cell]  2 Si 2.64
Y 0.0000 0.0000 0.5000 [1 per cell]  2 Si 2.75
Si 0.0000 0.0000 0.0000 [1 per cell]  4 Na 2.64, 2 Y 2.75
Au 0.5000 0.5000 0.5000 [1 per cell]  4 Y 3.74, 8 Na 3.81

**Raw formation energy**: 0.165 eV/atom



YAsPS2: relaxed, PBE-GGA.

a b c (Å): 4.7578 4.7578 4.7014
angles (deg): 90.00 90.00 90.00
With the nearest neighbours (Å) after each atom.
Space group P4/mmm (No. 123)
Inequivalent atoms, fractional coordinates:
Y 0.0000 0.0000 0.0000 [1 per cell]  8 S 3.34, 4 P 3.36
As 0.5000 0.5000 0.5000 [1 per cell]  2 P 2.35, 4 S 2.38
P 0.5000 0.5000 0.0000 [1 per cell]  2 As 2.35
S 0.0000 0.5000 0.5000 [2 per cell]  2 As 2.38

**Raw formation energy**: -0.269 eV/atom



Pr4MgTl2: relaxed, PBE-GGA.

a b c (Å): 6.6186 8.4602 8.9444
angles (deg): 94.45 109.60 105.87
With the nearest neighbours (Å) after each atom.
Space group P1 (No. 1)
Inequivalent atoms, fractional coordinates:
Pr 0.0000 0.0000 0.0000 [1 per cell]  1 Pr 3.23, 2 Mg 3.24-3.61, 4 Tl 3.34-3.42
Pr 0.0457 0.7600 0.6467 [1 per cell]  4 Tl 3.28-3.58, 1 Pr 3.61
Pr 0.2076 0.2596 0.7310 [1 per cell]  3 Tl 3.27-3.31, 1 Pr 3.40, 2 Mg 3.51-3.55
Pr 0.2870 0.4995 0.4554 [1 per cell]  2 Mg 3.39-3.41, 5 Pr 3.40-3.79, 3 Tl 3.40-3.54
Pr 0.4330 0.7873 0.1957 [1 per cell]  2 Mg 3.23-3.54, 4 Tl 3.27-3.47, 1 Pr 3.55
Pr 0.5184 0.3909 0.1788 [1 per cell]  3 Tl 3.29-3.38, 2 Mg 3.44-3.49, 3 Pr 3.50-3.64
Pr 0.6220 0.9536 0.6446 [1 per cell]  1 Mg 3.20, 1 Pr 3.23, 3 Tl 3.27-3.48
Pr 0.9094 0.4208 0.9690 [1 per cell]  4 Tl 3.32-3.51, 1 Pr 3.64
Mg 0.2928 0.1017 0.3853 [1 per cell]  1 Mg 2.96, 2 Tl 2.99-3.07, 2 Pr 3.20-3.24
Mg 0.8408 0.1385 0.3235 [1 per cell]  1 Mg 2.96, 2 Tl 3.12-3.17, 1 Pr 3.23
Tl 0.5043 0.0554 0.9583 [1 per cell]  1 Mg 3.17, 8 Pr 3.27-3.51
Tl 0.5343 0.6493 0.8609 [1 per cell]  7 Pr 3.27-3.58, 2 Tl 3.55-3.60
Tl 0.7421 0.3597 0.5691 [1 per cell]  2 Mg 2.99-3.12, 3 Pr 3.31-3.32
Tl 0.9589 0.7446 0.2624 [1 per cell]  1 Mg 3.07, 4 Pr 3.28-3.38

**Calculated formation energy**: -0.1526 eV/atom



Cr2NiTe6: relaxed, PBE-GGA.

a b c (Å): 6.7032 6.7032 5.9438
angles (deg): 90.00 90.00 120.00
With the nearest neighbours (Å) after each atom.
Space group P-31m (No. 162)
Inequivalent atoms, fractional coordinates:
Cr 0.3333 0.6667 0.0000 [2 per cell]  6 Te 2.69
Ni 0.0000 0.0000 0.0000 [1 per cell]  6 Te 2.62
Te 0.0000 0.3248 0.2444 [6 per cell]  1 Ni 2.62, 2 Cr 2.69

**Raw formation energy**: -0.172 eV/atom



ErTcClO4: relaxed, PBE-GGA.

a b c (Å): 10.2943 7.0852 6.8421
angles (deg): 90.00 105.15 90.00
With the nearest neighbours (Å) after each atom.
Space group C2/m (No. 12)
Inequivalent atoms, fractional coordinates:
Er 0.2182 0.0000 0.0971 [4 per cell]  6 O 2.28-2.42
Tc 0.1341 0.5000 0.2830 [4 per cell]  4 O 1.74-1.84
Cl 0.0092 0.0000 0.7666 [4 per cell]  2 Er 2.68-2.74, 1 O 3.00
O 0.0418 0.5000 0.7876 [4 per cell]  1 Tc 1.75
O 0.2006 0.3164 0.1456 [8 per cell]  1 Tc 1.84
O 0.2169 0.5000 0.5402 [4 per cell]  1 Tc 1.74

**Raw formation energy**: -2.070 eV/atom



KScBe2: relaxed, PBE-GGA.

a b c (Å): 6.9216 6.9216 6.9216
angles (deg): 90.00 90.00 90.00
With the nearest neighbours (Å) after each atom.
Space group Fm-3m (No. 225)
Inequivalent atoms, fractional coordinates:
K 0.0000 0.0000 0.0000 [4 per cell]  8 Be 3.00
Sc 0.0000 0.0000 0.5000 [4 per cell]  8 Be 3.00
Be 0.2500 0.2500 0.2500 [8 per cell]  4 K 3.00, 4 Sc 3.00

**Calculated formation energy**: 0.9560 eV/atom



TaV2RhN: relaxed, PBE-GGA.

a b c (Å): 3.9214 3.9214 4.2457
angles (deg): 90.00 90.00 90.00
With the nearest neighbours (Å) after each atom.
Space group P4/mmm (No. 123)
Inequivalent atoms, fractional coordinates:
Ta 0.0000 0.0000 0.0000 [1 per cell]  2 N 2.12
V 0.0000 0.5000 0.5000 [2 per cell]  2 N 1.96
Rh 0.5000 0.5000 0.0000 [1 per cell]  4 Ta 2.77, 8 V 2.89
N 0.0000 0.0000 0.5000 [1 per cell]  4 V 1.96, 2 Ta 2.12

**Raw formation energy**: -0.664 eV/atom



AcBeAu3: relaxed, PBE-GGA.

a b c (Å): 4.7477 4.7477 4.7477
angles (deg): 90.00 90.00 90.00
With the nearest neighbours (Å) after each atom.
Space group Pm-3m (No. 221)
Inequivalent atoms, fractional coordinates:
Ac 0.0000 0.0000 0.0000 [1 per cell]  12 Au 3.36
Be 0.5000 0.5000 0.5000 [1 per cell]  6 Au 2.37
Au 0.0000 0.5000 0.5000 [3 per cell]  2 Be 2.37

**Calculated formation energy**: -0.5317 eV/atom